A geometry-optimized Li3Co2OsO6 structure, computed with GGA+U.

Calculated values
As for the space-group type: C2/m (12). The total energy is -6.1415 eV per atom.

abc: 5.165 5.165 5.125
angles: 99.76 99.76 119.94
Sites, in units of the cell vectors:
Li (0.000, 0.000, 0.000)
Li (0.329, 0.671, 0.000)
Li (0.671, 0.329, 0.000)
Co (0.167, 0.833, 0.500)
Co (0.833, 0.167, 0.500)
Os (0.500, 0.500, 0.500)
O (0.103, 0.421, 0.260)
O (0.260, 0.260, 0.735)
O (0.421, 0.103, 0.260)
O (0.579, 0.897, 0.740)
O (0.740, 0.740, 0.265)
O (0.897, 0.579, 0.740)